(1)
Nd3InB2Pt9 | PBE | relaxed

a b c (Å): 5.839 5.839 9.533
angles (deg): 90.00 90.00 120.00
Element x y z (fractional)
Pt (0.500, 0.000, 0.000)
Pt (0.500, 0.500, 0.000)
Pt (0.167, 0.333, 0.277)
Pt (0.833, 0.667, 0.723)
Pt (0.000, 0.500, 0.000)
Pt (0.333, 0.167, 0.723)
B (0.667, 0.333, 0.856)
Pt (0.833, 0.167, 0.723)
B (0.333, 0.667, 0.144)
Pt (0.667, 0.833, 0.277)
Nd (0.667, 0.333, 0.376)
Pt (0.167, 0.833, 0.277)
Nd (0.000, 0.000, 0.000)
Nd (0.333, 0.667, 0.624)
In (0.000, 0.000, 0.500)

Calculated values
- calculated formation energy (eV per atom) = -0.776

(2)
NdInB2Rh5 | PBE | relaxed

a b c (Å): 4.211 4.211 7.869
angles (deg): 90.00 90.00 90.00
Element x y z (fractional)
Rh (0.500, 0.000, 0.775)
In (0.000, 0.000, 0.000)
Rh (0.000, 0.500, 0.775)
B (0.500, 0.500, 0.224)
Rh (0.000, 0.500, 0.225)
Rh (0.500, 0.000, 0.225)
Rh (0.500, 0.500, 0.500)
B (0.500, 0.500, 0.776)
Nd (0.000, 0.000, 0.500)

Calculated values
- calculated formation energy (eV per atom) = -0.451

(3)
Nd3In2BRu3 | PBE | relaxed

a b c (Å): 3.583 7.834 7.834
angles (deg): 120.00 90.00 90.00
Element x y z (fractional)
B (0.000, 0.000, 0.000)
In (0.500, 0.667, 0.333)
Nd (0.000, 0.658, 0.658)
Ru (0.500, 0.793, 0.000)
Nd (0.000, 0.000, 0.342)
Ru (0.500, 0.207, 0.207)
Nd (0.000, 0.342, 0.000)
Ru (0.500, 0.000, 0.793)
In (0.500, 0.333, 0.667)

Calculated values
- calculated formation energy (eV per atom) = -0.161

(4)
InNi2B | PBE | relaxed

a b c (Å): 4.087 4.087 4.087
angles (deg): 60.00 60.00 60.00
Element x y z (fractional)
B (0.000, 0.000, 0.000)
In (0.500, 0.500, 0.500)
Ni (0.750, 0.750, 0.750)
Ni (0.250, 0.250, 0.250)

Calculated values
- calculated formation energy (eV per atom) = 0.485

(5)
In2NiB | PBE | relaxed

a b c (Å): 6.691 6.691 5.691
angles (deg): 54.00 54.00 90.00
Element x y z (fractional)
In (0.157, 0.625, 0.250)
In (0.375, 0.407, 0.750)
B (0.250, 0.750, 0.500)
Ni (0.000, 0.000, 0.000)
Ni (0.750, 0.250, 0.500)
B (0.500, 0.500, 0.000)
In (0.593, 0.125, 0.250)
In (0.875, 0.843, 0.750)

Calculated values
- calculated formation energy (eV per atom) = 0.791

(6)
In3Ni9B2 | PBE | relaxed

a b c (Å): 5.425 5.425 13.379
angles (deg): 90.00 90.00 120.00
Element x y z (fractional)
Ni (0.840, 0.160, 0.421)
Ni (0.320, 0.160, 0.079)
B (0.667, 0.333, 0.341)
In (0.333, 0.667, 0.417)
Ni (0.001, 0.501, 0.250)
Ni (0.840, 0.160, 0.079)
B (0.333, 0.667, 0.659)
In (0.667, 0.333, 0.583)
Ni (0.320, 0.160, 0.421)
B (0.667, 0.333, 0.159)
In (0.000, 0.000, 0.750)
Ni (0.680, 0.840, 0.921)
In (0.333, 0.667, 0.083)
Ni (0.501, 0.001, 0.750)
Ni (0.840, 0.680, 0.079)
In (0.667, 0.333, 0.917)
Ni (0.680, 0.840, 0.579)
Ni (0.499, 0.501, 0.250)
Ni (0.840, 0.680, 0.421)
Ni (0.999, 0.499, 0.750)
Ni (0.160, 0.840, 0.579)
Ni (0.160, 0.320, 0.579)
Ni (0.160, 0.320, 0.921)
Ni (0.160, 0.840, 0.921)
B (0.333, 0.667, 0.841)
In (0.000, 0.000, 0.250)
Ni (0.499, 0.999, 0.250)
Ni (0.501, 0.499, 0.750)

Calculated values
- calculated formation energy (eV per atom) = -0.200

(7)
InNiB3 | PBE | relaxed

a b c (Å): 4.400 4.400 4.400
angles (deg): 90.00 90.00 90.00
Element x y z (fractional)
B (0.000, 0.500, 0.000)
Ni (0.500, 0.500, 0.500)
B (0.000, 0.000, 0.500)
B (0.500, 0.000, 0.000)
In (0.000, 0.000, 0.000)

Calculated values
- energy above the most stable polymorph in this dataset (eV/f.u.) = 7.317
- calculated formation energy (eV per atom) = 2.589

(8)
InNi12B6 | PBE | relaxed

a b c (Å): 6.035 6.035 6.035
angles (deg): 105.25 105.25 105.25
Element x y z (fractional)
B (0.326, 0.756, 0.756)
Ni (0.869, 0.500, 0.131)
B (0.244, 0.674, 0.244)
Ni (0.131, 0.500, 0.869)
B (0.674, 0.244, 0.244)
Ni (0.180, 0.444, 0.444)
Ni (0.444, 0.444, 0.180)
Ni (0.131, 0.869, 0.500)
Ni (0.556, 0.556, 0.820)
Ni (0.444, 0.180, 0.444)
Ni (0.500, 0.131, 0.869)
Ni (0.556, 0.820, 0.556)
B (0.244, 0.244, 0.674)
Ni (0.820, 0.556, 0.556)
Ni (0.869, 0.131, 0.500)
Ni (0.500, 0.869, 0.131)
B (0.756, 0.326, 0.756)
B (0.756, 0.756, 0.326)
In (0.000, 0.000, 0.000)

Calculated values
- calculated formation energy (eV per atom) = -0.216

Asked for total DFT energy (no corrections) across the records above, the calculation gives -96.4, -61.7, -55.7, -19.0, -29.5, -152.8, -15.6, -116.3 eV per cell in order.